No. 1
# PBE-GGA Pa2Zn2O5, relaxed
# polymorph energy (0 for the lowest one)	0.0	kJ per mole of atoms
data_Pa2Zn2O5
_chemical_formula_sum 'Pa2 Zn2 O5'
_space_group_name_H-M_alt 'P 1'
_space_group_IT_number 1
_cell_length_a 4.085
_cell_length_b 4.085
_cell_length_c 8.735
_cell_angle_alpha 90.00
_cell_angle_beta 90.00
_cell_angle_gamma 90.00
loop_
_space_group_symop_operation_xyz
'x,y,z'
loop_
_atom_site_label
_atom_site_type_symbol
_atom_site_fract_x
_atom_site_fract_y
_atom_site_fract_z
_atom_site_occupancy
Pa1 Pa 0.000 0.000 0.249 1
Pa2 Pa 0.000 0.000 0.751 1
Zn1 Zn 0.500 0.500 0.000 1
Zn2 Zn 0.500 0.500 0.500 1
O1 O 0.000 0.000 0.000 1
O2 O 0.000 0.500 0.348 1
O3 O 0.000 0.500 0.652 1
O4 O 0.500 0.000 0.348 1
O5 O 0.500 0.000 0.652 1

***

No. 2
# PBE-GGA PaZn2O4, relaxed
# electronic total energy	-6.340	eV per atom
data_PaZn2O4
_chemical_formula_sum 'Pa2 Zn4 O8'
_space_group_name_H-M_alt 'P 1'
_space_group_IT_number 1
_cell_length_a 6.376
_cell_length_b 6.376
_cell_length_c 6.376
_cell_angle_alpha 60.00
_cell_angle_beta 60.00
_cell_angle_gamma 60.00
loop_
_space_group_symop_operation_xyz
'x,y,z'
loop_
_atom_site_label
_atom_site_type_symbol
_atom_site_fract_x
_atom_site_fract_y
_atom_site_fract_z
_atom_site_occupancy
Pa1 Pa 0.125 0.125 0.125 1
Pa2 Pa 0.875 0.875 0.875 1
Zn1 Zn 0.000 0.500 0.500 1
Zn2 Zn 0.500 0.000 0.500 1
Zn3 Zn 0.500 0.500 0.000 1
Zn4 Zn 0.500 0.500 0.500 1
O1 O 0.263 0.263 0.263 1
O2 O 0.263 0.263 0.710 1
O3 O 0.263 0.710 0.263 1
O4 O 0.290 0.737 0.737 1
O5 O 0.710 0.263 0.263 1
O6 O 0.737 0.290 0.737 1
O7 O 0.737 0.737 0.290 1
O8 O 0.737 0.737 0.737 1

***

No. 3
# PBE-GGA Pa2Zn2O5, relaxed
# polymorph energy (0 for the lowest one)	14.7	kJ per mole of atoms
data_Pa2Zn2O5
_chemical_formula_sum 'Pa2 Zn2 O5'
_space_group_name_H-M_alt 'P 1'
_space_group_IT_number 1
_cell_length_a 3.929
_cell_length_b 3.929
_cell_length_c 6.943
_cell_angle_alpha 90.00
_cell_angle_beta 90.00
_cell_angle_gamma 90.00
loop_
_space_group_symop_operation_xyz
'x,y,z'
loop_
_atom_site_label
_atom_site_type_symbol
_atom_site_fract_x
_atom_site_fract_y
_atom_site_fract_z
_atom_site_occupancy
Pa1 Pa 0.000 0.000 0.000 1
Pa2 Pa 0.000 0.000 0.500 1
Zn1 Zn 0.500 0.500 0.185 1
Zn2 Zn 0.500 0.500 0.815 1
O1 O 0.000 0.500 0.243 1
O2 O 0.000 0.500 0.757 1
O3 O 0.500 0.000 0.243 1
O4 O 0.500 0.000 0.757 1
O5 O 0.500 0.500 0.500 1

***

No. 4
# PBE-GGA Zr2Pa2O5, relaxed
# polymorph energy (0 for the lowest one)	41.0	kJ per mole of atoms
data_Zr2Pa2O5
_chemical_formula_sum 'Zr2 Pa2 O5'
_space_group_name_H-M_alt 'P 1'
_space_group_IT_number 1
_cell_length_a 3.875
_cell_length_b 3.875
_cell_length_c 9.359
_cell_angle_alpha 90.00
_cell_angle_beta 90.00
_cell_angle_gamma 90.00
loop_
_space_group_symop_operation_xyz
'x,y,z'
loop_
_atom_site_label
_atom_site_type_symbol
_atom_site_fract_x
_atom_site_fract_y
_atom_site_fract_z
_atom_site_occupancy
Zr1 Zr 0.000 0.000 0.000 1
Zr2 Zr 0.000 0.000 0.500 1
Pa1 Pa 0.500 0.500 0.234 1
Pa2 Pa 0.500 0.500 0.766 1
O1 O 0.000 0.500 0.342 1
O2 O 0.000 0.500 0.658 1
O3 O 0.500 0.000 0.342 1
O4 O 0.500 0.000 0.658 1
O5 O 0.500 0.500 0.500 1

***

No. 5
# PBE-GGA Zr2Pa2O5, relaxed
# polymorph energy (0 for the lowest one)	0.0	kJ per mole of atoms
data_Zr2Pa2O5
_chemical_formula_sum 'Zr2 Pa2 O5'
_space_group_name_H-M_alt 'P 1'
_space_group_IT_number 1
_cell_length_a 4.186
_cell_length_b 4.186
_cell_length_c 7.409
_cell_angle_alpha 90.00
_cell_angle_beta 90.00
_cell_angle_gamma 90.00
loop_
_space_group_symop_operation_xyz
'x,y,z'
loop_
_atom_site_label
_atom_site_type_symbol
_atom_site_fract_x
_atom_site_fract_y
_atom_site_fract_z
_atom_site_occupancy
Zr1 Zr 0.000 0.000 0.211 1
Zr2 Zr 0.000 0.000 0.789 1
Pa1 Pa 0.500 0.500 0.000 1
Pa2 Pa 0.500 0.500 0.500 1
O1 O 0.000 0.000 0.500 1
O2 O 0.000 0.500 0.254 1
O3 O 0.000 0.500 0.746 1
O4 O 0.500 0.000 0.254 1
O5 O 0.500 0.000 0.746 1

***

No. 6
# PBE-GGA Pd2PbO4, relaxed
# polymorph energy (0 for the lowest one)	17.4	kJ per mole of atoms
data_Pd2PbO4
_chemical_formula_sum 'Pd4 Pb2 O8'
_space_group_name_H-M_alt 'P 1'
_space_group_IT_number 1
_cell_length_a 6.526
_cell_length_b 6.526
_cell_length_c 6.526
_cell_angle_alpha 60.00
_cell_angle_beta 60.00
_cell_angle_gamma 60.00
loop_
_space_group_symop_operation_xyz
'x,y,z'
loop_
_atom_site_label
_atom_site_type_symbol
_atom_site_fract_x
_atom_site_fract_y
_atom_site_fract_z
_atom_site_occupancy
Pd1 Pd 0.000 0.000 0.000 1
Pd2 Pd 0.000 0.000 0.500 1
Pd3 Pd 0.000 0.500 0.000 1
Pd4 Pd 0.500 0.000 0.000 1
Pb1 Pb 0.375 0.375 0.375 1
Pb2 Pb 0.625 0.625 0.625 1
O1 O 0.187 0.771 0.771 1
O2 O 0.229 0.229 0.229 1
O3 O 0.229 0.229 0.813 1
O4 O 0.229 0.813 0.229 1
O5 O 0.771 0.187 0.771 1
O6 O 0.771 0.771 0.187 1
O7 O 0.771 0.771 0.771 1
O8 O 0.813 0.229 0.229 1

***

No. 7
# PBE-GGA PdPb2O3, relaxed
# polymorph energy (0 for the lowest one)	0.0	kJ per mole of atoms
data_PdPb2O3
_chemical_formula_sum 'Pd1 Pb2 O3'
_space_group_name_H-M_alt 'P 1'
_space_group_IT_number 1
_cell_length_a 7.042
_cell_length_b 7.042
_cell_length_c 7.042
_cell_angle_alpha 150.75
_cell_angle_beta 146.39
_cell_angle_gamma 45.14
loop_
_space_group_symop_operation_xyz
'x,y,z'
loop_
_atom_site_label
_atom_site_type_symbol
_atom_site_fract_x
_atom_site_fract_y
_atom_site_fract_z
_atom_site_occupancy
Pd1 Pd 0.000 0.000 0.000 1
Pb1 Pb 0.352 0.352 0.000 1
Pb2 Pb 0.648 0.648 0.000 1
O1 O 0.159 0.159 0.000 1
O2 O 0.500 0.000 0.500 1
O3 O 0.841 0.841 0.000 1

***

No. 8
# PBE-GGA Pd4PbO9, relaxed
# electronic total energy	-5.149	eV per atom
data_Pd4PbO9
_chemical_formula_sum 'Pd4 Pb1 O9'
_space_group_name_H-M_alt 'P 1'
_space_group_IT_number 1
_cell_length_a 6.642
_cell_length_b 6.642
_cell_length_c 4.884
_cell_angle_alpha 101.17
_cell_angle_beta 101.17
_cell_angle_gamma 120.45
loop_
_space_group_symop_operation_xyz
'x,y,z'
loop_
_atom_site_label
_atom_site_type_symbol
_atom_site_fract_x
_atom_site_fract_y
_atom_site_fract_z
_atom_site_occupancy
Pd1 Pd 0.000 0.000 0.000 1
Pd2 Pd 0.124 0.619 0.195 1
Pd3 Pd 0.381 0.876 0.805 1
Pd4 Pd 0.858 0.142 0.500 1
Pb1 Pb 0.570 0.430 0.500 1
O1 O 0.085 0.324 0.922 1
O2 O 0.158 0.159 0.433 1
O3 O 0.350 0.139 0.010 1
O4 O 0.372 0.628 0.500 1
O5 O 0.545 0.088 0.548 1
O6 O 0.676 0.915 0.078 1
O7 O 0.841 0.842 0.567 1
O8 O 0.861 0.650 0.990 1
O9 O 0.912 0.455 0.452 1

***

What are the mass density values for these records? In order: 7.67; 7.71; 10.43; 8.56; 9.27; 8.18; 10.03; 7.54 g/cm3.